(1)
# Er6Rh2Au GGA-PBE relaxed
data_Er6Rh2Au
_space_group_name_H-M_alt 'I m m m'
_space_group_IT_number 71
_space_group_name_Hall '-I 2 2'
_cell_length_a 9.266
_cell_length_b 9.306
_cell_length_c 10.184
_cell_angle_alpha 90.00
_cell_angle_beta 90.00
_cell_angle_gamma 90.00
loop_
_atom_site_label
_atom_site_fract_x
_atom_site_fract_y
_atom_site_fract_z
_atom_site_occupancy
Er1 0.000 0.194 0.170 1
Er2 0.180 0.219 0.500 1
Er3 0.193 0.500 0.257 1
Rh1 0.000 0.000 0.368 1
Rh2 0.167 0.000 0.000 1
Au1 0.000 0.500 0.000 1
Au2 0.000 0.500 0.500 1
# VASP energy	-204.96	eV/cell

(2)
# PaGaCo GGA-PBE relaxed
data_PaGaCo
_space_group_name_H-M_alt 'P m m a'
_space_group_IT_number 51
_space_group_name_Hall '-P 2a 2a'
_cell_length_a 11.996
_cell_length_b 3.799
_cell_length_c 6.948
_cell_angle_alpha 90.00
_cell_angle_beta 90.00
_cell_angle_gamma 90.00
loop_
_atom_site_label
_atom_site_fract_x
_atom_site_fract_y
_atom_site_fract_z
_atom_site_occupancy
Pa1 0.042 0.000 0.243 1
Pa2 0.250 0.000 0.867 1
Ga1 0.131 0.500 0.568 1
Ga2 0.250 0.500 0.210 1
Co1 0.101 0.500 0.930 1
Co2 0.250 0.000 0.442 1
# VASP energy	-126.33	eV/cell

(3)
# CoRe2HW GGA-PBE relaxed
data_CoRe2HW
_space_group_name_H-M_alt 'P 4/m m m'
_space_group_IT_number 123
_space_group_name_Hall '-P 4 2'
_cell_length_a 3.952
_cell_length_b 3.952
_cell_length_c 3.746
_cell_angle_alpha 90.00
_cell_angle_beta 90.00
_cell_angle_gamma 90.00
loop_
_atom_site_label
_atom_site_fract_x
_atom_site_fract_y
_atom_site_fract_z
_atom_site_occupancy
Co1 0.000 0.000 0.000 1
Re1 0.000 0.500 0.500 1
H1 0.000 0.000 0.500 1
W1 0.500 0.500 0.000 1
# VASP energy	-47.90	eV/cell

(4)
# Dy2ThZn2Sn2 GGA-PBE relaxed
data_Dy2ThZn2Sn2
_space_group_name_H-M_alt 'R -3 m'
_space_group_IT_number 166
_space_group_name_Hall '-R 3 2"'
_cell_length_a 4.5881
_cell_length_b 4.5881
_cell_length_c 29.7459
_cell_angle_alpha 90.00
_cell_angle_beta 90.00
_cell_angle_gamma 120.00
loop_
_atom_site_label
_atom_site_fract_x
_atom_site_fract_y
_atom_site_fract_z
_atom_site_occupancy
Dy1 0.0000 0.0000 0.1296 1
Th1 0.0000 0.0000 0.0000 1
Zn1 0.0000 0.0000 0.3875 1
Sn1 0.0000 0.0000 0.2562 1
# VASP energy	-88.02	eV/cell

(5)
# Ba8Sn2O GGA-PBE relaxed
data_Ba8Sn2O
_space_group_name_H-M_alt 'C 1 2/m 1'
_space_group_IT_number 12
_space_group_name_Hall '-C 2y'
_cell_length_a 23.702
_cell_length_b 5.839
_cell_length_c 7.669
_cell_angle_alpha 90.00
_cell_angle_beta 102.05
_cell_angle_gamma 90.00
loop_
_atom_site_label
_atom_site_fract_x
_atom_site_fract_y
_atom_site_fract_z
_atom_site_occupancy
Ba1 0.049 0.000 0.293 1
Ba2 0.079 0.500 0.849 1
Ba3 0.175 0.500 0.420 1
Ba4 0.217 0.000 0.122 1
Sn1 0.181 0.000 0.661 1
O1 0.000 0.500 0.000 1
# energy relative to the elements, uncorrected	-0.57	eV/atom
# VASP energy	-69.27	eV/cell

(6)
# ZnWSe2N GGA-PBE relaxed
data_ZnWSe2N
_space_group_name_H-M_alt 'P 4/m m m'
_space_group_IT_number 123
_space_group_name_Hall '-P 4 2'
_cell_length_a 4.961
_cell_length_b 4.961
_cell_length_c 3.503
_cell_angle_alpha 90.00
_cell_angle_beta 90.00
_cell_angle_gamma 90.00
loop_
_atom_site_label
_atom_site_fract_x
_atom_site_fract_y
_atom_site_fract_z
_atom_site_occupancy
Zn1 0.000 0.000 0.000 1
W1 0.500 0.500 0.500 1
Se1 0.000 0.500 0.000 1
N1 0.000 0.000 0.500 1
# energy relative to the elements, uncorrected	1.45	eV/atom
# energy above the lowest structure with this stoichiometry	1239	meV/atom
# VASP energy	-22.28	eV/cell

(7)
# Ce8CoIr3Cl4 GGA-PBE relaxed
data_Ce8CoIr3Cl4
_space_group_name_H-M_alt 'R -3 m'
_space_group_IT_number 166
_space_group_name_Hall '-R 3 2"'
_cell_length_a 8.0745
_cell_length_b 8.0745
_cell_length_c 22.0394
_cell_angle_alpha 90.00
_cell_angle_beta 90.00
_cell_angle_gamma 120.00
loop_
_atom_site_label
_atom_site_fract_x
_atom_site_fract_y
_atom_site_fract_z
_atom_site_occupancy
Ce1 0.0000 0.0000 0.2370 1
Ce2 0.0086 0.5043 0.2352 1
Co1 0.0000 0.0000 0.5000 1
Ir1 0.0000 0.5000 0.5000 1
Cl1 0.0000 0.0000 0.0000 1
Cl2 0.0000 0.5000 0.0000 1
# energy relative to the elements, uncorrected	-1.07	eV/atom
# VASP energy	-316.99	eV/cell

(8)
# Ca4CdSn3 GGA-PBE relaxed
data_Ca4CdSn3
_space_group_name_H-M_alt 'P m m a'
_space_group_IT_number 51
_space_group_name_Hall '-P 2a 2a'
_cell_length_a 11.057
_cell_length_b 7.455
_cell_length_c 5.542
_cell_angle_alpha 90.00
_cell_angle_beta 90.00
_cell_angle_gamma 90.00
loop_
_atom_site_label
_atom_site_fract_x
_atom_site_fract_y
_atom_site_fract_z
_atom_site_occupancy
Ca1 0.000 0.249 0.000 1
Ca2 0.250 0.249 0.468 1
Cd1 0.000 0.500 0.500 1
Sn1 0.000 0.000 0.500 1
Sn2 0.250 0.000 0.956 1
Sn3 0.250 0.500 0.970 1
# VASP energy	-51.07	eV/cell

(9)
# Gd2RuO GGA-PBE relaxed
data_Gd2RuO
_space_group_name_H-M_alt 'P 4/m m m'
_space_group_IT_number 123
_space_group_name_Hall '-P 4 2'
_cell_length_a 3.225
_cell_length_b 3.225
_cell_length_c 6.783
_cell_angle_alpha 90.00
_cell_angle_beta 90.00
_cell_angle_gamma 90.00
loop_
_atom_site_label
_atom_site_fract_x
_atom_site_fract_y
_atom_site_fract_z
_atom_site_occupancy
Gd1 0.000 0.000 0.235 1
Ru1 0.500 0.500 0.500 1
O1 0.500 0.500 0.000 1
# energy relative to the elements, uncorrected	-1.18	eV/atom
# energy above the lowest structure with this stoichiometry	200	meV/atom
# VASP energy	-47.11	eV/cell

(10)
# Li3In2Au6 GGA-PBE relaxed
data_Li3In2Au6
_space_group_name_H-M_alt 'I 4/m m m'
_space_group_IT_number 139
_space_group_name_Hall '-I 4 2'
_cell_length_a 4.114
_cell_length_b 4.114
_cell_length_c 24.922
_cell_angle_alpha 90.00
_cell_angle_beta 90.00
_cell_angle_gamma 90.00
loop_
_atom_site_label
_atom_site_fract_x
_atom_site_fract_y
_atom_site_fract_z
_atom_site_occupancy
Li1 0.000 0.000 0.000 1
Li2 0.000 0.000 0.137 1
In1 0.000 0.000 0.354 1
Au1 0.000 0.000 0.245 1
Au2 0.000 0.500 0.062 1
# VASP energy	-66.00	eV/cell

(11)
# CaTh3Os GGA-PBE relaxed
data_CaTh3Os
_space_group_name_H-M_alt 'P m -3 m'
_space_group_IT_number 221
_space_group_name_Hall '-P 4 2 3'
_cell_length_a 5.601
_cell_length_b 5.601
_cell_length_c 5.601
_cell_angle_alpha 90.00
_cell_angle_beta 90.00
_cell_angle_gamma 90.00
loop_
_atom_site_label
_atom_site_fract_x
_atom_site_fract_y
_atom_site_fract_z
_atom_site_occupancy
Ca1 0.000 0.000 0.000 1
Th1 0.000 0.500 0.500 1
Os1 0.500 0.500 0.500 1
# VASP energy	-35.32	eV/cell

(12)
# MgHCl2 GGA-PBE relaxed
data_MgHCl2
_space_group_name_H-M_alt 'R -3 m'
_space_group_IT_number 166
_space_group_name_Hall '-R 3 2"'
_cell_length_a 3.6581
_cell_length_b 3.6581
_cell_length_c 21.2625
_cell_angle_alpha 90.00
_cell_angle_beta 90.00
_cell_angle_gamma 120.00
loop_
_atom_site_label
_atom_site_fract_x
_atom_site_fract_y
_atom_site_fract_z
_atom_site_occupancy
Mg1 0.0000 0.0000 0.0000 1
H1 0.0000 0.0000 0.5000 1
Cl1 0.0000 0.0000 0.4251 1
# VASP energy	-32.74	eV/cell